(1)
This record from Alexandria via LeMat-Bulk describes crystalline HfZr3P4 at its relaxed geometry. The functional is PBE-GGA.

It has space group P2/c (No. 13), with a = 6.472 Å, b = 7.457 Å, c = 6.472 Å, α = 90.00°, β = 109.26° and γ = 90.00°. The inequivalent atoms are Hf at (0.000, 0.126, 0.250), Zr at (0.000, 0.376, 0.750), Zr at (0.500, 0.126, 0.750), Zr at (0.500, 0.376, 0.250), P at (0.247, 0.123, 0.000) and P at (0.249, 0.373, 0.498).

The value obtained for the density of states at the Fermi level is 4.5 states/eV per cell. The calculation puts the excess energy over the best structure of this formula in the dataset at 0 meV per atom. The raw total energy is -8.47 eV per atom. Its energy relative to the elements is -1.314 eV per atom.



(2)
This record from Alexandria via LeMat-Bulk describes crystalline LiAc3Ce3S8 at its relaxed geometry. The functional is PBE-GGA.

It has space group R-3m (No. 166, hexagonal axes), with a = 8.2154 Å, b = 8.2154 Å, c = 20.5640 Å, α = 90.00°, β = 90.00° and γ = 120.00°. The inequivalent atoms are Li at (0.0000, 0.0000, 0.0000), Ac at (0.0000, 0.5000, 0.5000), Ce at (0.0000, 0.5000, 0.0000), S at (0.0000, 0.0000, 0.2558) and S at (0.0047, 0.5024, 0.7425).

The calculation puts the formation energy (no corrections) at -185.94 kJ/mol of atoms. The value obtained for the density of states at the Fermi level is 62.2 states/eV per cell. The raw total energy is -6.26 eV per atom.



(3)
This record from Alexandria via LeMat-Bulk describes crystalline Tc2PbSe at its relaxed geometry. The functional is PBE-GGA.

It has space group C2/m (No. 12), with a = 8.053 Å, b = 3.113 Å, c = 6.019 Å, α = 90.00°, β = 102.89° and γ = 90.00°. The inequivalent atoms are Tc at (0.246, 0.000, 0.187), Pb at (0.000, 0.000, 0.500) and Se at (0.000, 0.500, 0.000).

The calculation puts the formation energy (no corrections) at 41.36 kJ/mol of atoms. The value obtained for the density of states at the Fermi level is 8.0 states/eV per cell. The calculation puts the excess energy over the best structure of this formula in the dataset at 276 meV per atom. The raw total energy is -6.55 eV per atom.



(4)
This record from Alexandria via LeMat-Bulk describes crystalline SrThSnN3 at its relaxed geometry. The functional is PBE-GGA.

It has space group P2_1/m (No. 11), with a = 7.556 Å, b = 3.546 Å, c = 7.935 Å, α = 90.00°, β = 102.89° and γ = 90.00°. The inequivalent atoms are Sr at (0.099, 0.250, 0.354), Th at (0.452, 0.750, 0.699), Sn at (0.204, 0.250, 0.953), N at (0.195, 0.250, 0.683), N at (0.363, 0.750, 0.399) and N at (0.371, 0.750, 0.031).

The calculation puts the formation energy (no corrections) at -60.90 kJ/mol of atoms. The value obtained for the density of states at the Fermi level is 5.4 states/eV per cell. The raw total energy is -6.98 eV per atom.



(5)
This record from Alexandria via LeMat-Bulk describes crystalline Zr15Sc2Pb2 at its relaxed geometry. The functional is PBE-GGA.

It has space group R-3m (No. 166, hexagonal axes), with a = 9.9984 Å, b = 9.9984 Å, c = 16.1712 Å, α = 90.00°, β = 90.00° and γ = 120.00°. The inequivalent atoms are Zr at (0.0000, 0.3045, 0.0000), Zr at (0.0000, 0.5000, 0.5000), Zr at (0.0272, 0.5136, 0.1378), Sc at (0.0000, 0.0000, 0.0906) and Pb at (0.0000, 0.0000, 0.2941).

The value obtained for the density of states at the Fermi level is 94.1 states/eV per cell. The raw total energy is -7.46 eV per atom. Its energy relative to the elements is 0.344 eV per atom.



(6)
This record from Alexandria via LeMat-Bulk describes crystalline Dy4Y5Tm at its relaxed geometry. The functional is PBE-GGA.

It has space group P-1 (No. 2), with a = 3.565 Å, b = 6.777 Å, c = 13.871 Å, α = 82.55°, β = 89.96° and γ = 75.07°. The inequivalent atoms are Dy at (0.120, 0.296, 0.309), Dy at (0.185, 0.171, 0.708), Y at (0.184, 0.125, 0.086), Y at (0.461, 0.583, 0.117), Y at (0.500, 0.500, 0.500) and Tm at (0.000, 0.000, 0.500).

The value obtained for the density of states at the Fermi level is 18.6 states/eV per cell. The calculation puts the excess energy over the best structure of this formula in the dataset at 0 meV per atom. The raw total energy is -5.47 eV per atom. Its energy relative to the elements is 0.054 eV per atom.



(7)
This record from Alexandria via LeMat-Bulk describes crystalline DyCdB at its relaxed geometry. The functional is PBE-GGA.

It has space group C2/m (No. 12), with a = 9.192 Å, b = 3.796 Å, c = 6.998 Å, α = 90.00°, β = 100.73° and γ = 90.00°. The inequivalent atoms are Dy at (0.120, 0.000, 0.329), Cd at (0.133, 0.500, 0.921) and B at (0.079, 0.500, 0.569).

The value obtained for the density of states at the Fermi level is 6.0 states/eV per cell. The raw total energy is -4.25 eV per atom. Its energy relative to the elements is -0.180 eV per atom.



(8)
This record from Alexandria via LeMat-Bulk describes crystalline CeDy2Ag at its relaxed geometry. The functional is PBE-GGA.

It has space group R3m (No. 160, hexagonal axes), with a = 3.4861 Å, b = 3.4861 Å, c = 31.8604 Å, α = 90.00°, β = 90.00° and γ = 120.00°. The inequivalent atoms are Ce at (0.0000, 0.0000, 0.0000), Dy at (0.0000, 0.0000, 0.5752), Dy at (0.0000, 0.0000, 0.7587) and Ag at (0.0000, 0.0000, 0.1669).

The value obtained for the density of states at the Fermi level is 19.9 states/eV per cell. The calculation puts the excess energy over the best structure of this formula in the dataset at 133 meV per atom. The raw total energy is -4.46 eV per atom. Its energy relative to the elements is 0.039 eV per atom.



(9)
This record from Alexandria via LeMat-Bulk describes crystalline LaBe2Sb at its relaxed geometry. The functional is PBE-GGA.

It has space group Cmm2 (No. 35), with a = 4.246 Å, b = 5.500 Å, c = 7.030 Å, α = 90.00°, β = 90.00° and γ = 90.00°. The inequivalent atoms are La at (0.000, 0.000, 0.000), Be at (0.000, 0.000, 0.574), Be at (0.000, 0.500, 0.697) and Sb at (0.000, 0.500, 0.344).

The calculation puts the formation energy (no corrections) at 16.47 kJ/mol of atoms. The value obtained for the density of states at the Fermi level is 5.3 states/eV per cell. The calculation puts the excess energy over the best structure of this formula in the dataset at 398 meV per atom. The raw total energy is -3.95 eV per atom.



(10)
This record from Alexandria via LeMat-Bulk describes crystalline DyNbGa6 at its relaxed geometry. The functional is PBE-GGA.

It has space group C2/m (No. 12), with a = 7.081 Å, b = 7.137 Å, c = 6.102 Å, α = 90.00°, β = 93.93° and γ = 90.00°. The inequivalent atoms are Dy at (0.000, 0.000, 0.000), Nb at (0.000, 0.000, 0.500), Ga at (0.127, 0.500, 0.193) and Ga at (0.180, 0.314, 0.684).

The value obtained for the density of states at the Fermi level is 9.5 states/eV per cell. The raw total energy is -4.28 eV per atom. Its energy relative to the elements is -0.178 eV per atom.



(11)
This record from Alexandria via LeMat-Bulk describes crystalline U3GaC3 at its relaxed geometry. The functional is PBE-GGA.

It has space group R-3 (No. 148, hexagonal axes), with a = 6.6253 Å, b = 6.6253 Å, c = 21.1552 Å, α = 90.00°, β = 90.00° and γ = 120.00°. The inequivalent atoms are U at (0.0018, 0.3378, 0.2664), Ga at (0.0000, 0.0000, 0.1675) and C at (0.0038, 0.3296, 0.7076).

The value obtained for the density of states at the Fermi level is 71.8 states/eV per cell. The raw total energy is -8.99 eV per atom. Its energy relative to the elements is 0.234 eV per atom.



(12)
This record from Alexandria via LeMat-Bulk describes crystalline La3Pd4Au2 at its relaxed geometry. The functional is PBE-GGA.

It has space group C2/m (No. 12), with a = 11.409 Å, b = 4.367 Å, c = 9.350 Å, α = 90.00°, β = 115.56° and γ = 90.00°. The inequivalent atoms are La at (0.000, 0.000, 0.000), La at (0.148, 0.500, 0.687), Pd at (0.079, 0.000, 0.427), Pd at (0.211, 0.500, 0.054) and Au at (0.135, 0.500, 0.294).

The value obtained for the density of states at the Fermi level is 9.0 states/eV per cell. The raw total energy is -5.47 eV per atom. Its energy relative to the elements is -0.793 eV per atom.